1.
Material: NaLuMgIn
Method: DFT, PBE
State: relaxed

a b c (Å): 5.2452 5.2452 5.2452
angles (deg): 60.00 60.00 60.00
Last column: nearest neighbours and their distance in Å.
Sites, in units of the cell vectors:
Na 0.0000 0.0000 0.0000  4 Mg 3.21, 4 In 3.21
Lu 0.5000 0.5000 0.5000  4 Mg 3.21, 4 In 3.21
Mg 0.7500 0.7500 0.7500  4 Lu 3.21, 4 Na 3.21
In 0.2500 0.2500 0.2500  4 Na 3.21, 4 Lu 3.21

The calculation puts the total magnetic moment at 0.00 μB/f.u. The formation enthalpy at 0 K comes out at -0.072 eV/atom. The total energy comes out at -10.46 eV for the cell shown. The space-group type is F-43m. As for the density of states at the Fermi level: 0.5404 states/eV/atom.

2.
Material: TlHgPd3
Method: DFT, PBE
State: relaxed

a b c (Å): 7.5567 7.5567 7.1095
angles (deg): 104.07 104.07 91.74
Last column: nearest neighbours and their distance in Å.
Sites, in units of the cell vectors:
Tl 0.0205 0.9795 0.7500  8 Pd 2.77-2.94
Tl 0.3920 0.6080 0.2500  4 Pd 2.77-2.87
Tl 0.6080 0.3920 0.7500  4 Pd 2.77-2.87
Tl 0.9795 0.0205 0.2500  8 Pd 2.77-2.94
Hg 0.1865 0.5391 0.7648  7 Pd 2.76-2.97, 1 Hg 2.97
Hg 0.4609 0.8135 0.7352  7 Pd 2.76-2.97, 1 Hg 2.97
Hg 0.5391 0.1865 0.2648  7 Pd 2.76-2.97, 1 Hg 2.97
Hg 0.8135 0.4609 0.2352  7 Pd 2.76-2.97, 1 Hg 2.97
Pd 0.0486 0.3291 0.9979  5 Pd 2.70-2.94, 1 Tl 2.77, 2 Hg 2.78-2.89
Pd 0.1031 0.7232 0.4364  3 Hg 2.76-2.95, 3 Tl 2.79-2.94, 3 Pd 2.83-2.94
Pd 0.2226 0.3564 0.3906  3 Pd 2.71-2.91, 2 Hg 2.77-2.97, 2 Tl 2.77-2.90
Pd 0.2768 0.8969 0.0636  3 Hg 2.76-2.95, 3 Tl 2.79-2.94, 3 Pd 2.83-2.94
Pd 0.3291 0.0486 0.4979  5 Pd 2.70-2.94, 1 Tl 2.77, 2 Hg 2.78-2.89
Pd 0.3564 0.2226 0.8906  3 Pd 2.71-2.91, 2 Hg 2.77-2.97, 2 Tl 2.77-2.90
Pd 0.6436 0.7774 0.1094  3 Pd 2.71-2.91, 2 Hg 2.77-2.97, 2 Tl 2.77-2.90
Pd 0.6709 0.9514 0.5021  5 Pd 2.70-2.94, 1 Tl 2.77, 2 Hg 2.78-2.89
Pd 0.7232 0.1031 0.9364  3 Hg 2.76-2.95, 3 Tl 2.79-2.94, 3 Pd 2.83-2.94
Pd 0.7774 0.6436 0.6094  3 Pd 2.71-2.91, 2 Hg 2.77-2.97, 2 Tl 2.77-2.90
Pd 0.8969 0.2768 0.5636  3 Hg 2.76-2.95, 3 Tl 2.79-2.94, 3 Pd 2.83-2.94
Pd 0.9514 0.6709 0.0021  5 Pd 2.70-2.94, 1 Tl 2.77, 2 Hg 2.78-2.89

The relative energy among the computed polymorphs comes out at 99.3 meV/atom. The calculation puts the total magnetic moment at 0.00 μB/f.u. The formation enthalpy at 0 K comes out at -0.058 eV/atom. The total energy comes out at -74.15 eV for the cell shown. The space-group type is C2/c. As for the density of states at the Fermi level: 0.4313 states/eV/atom.

3.
Material: Er4Cu2HgRh
Method: DFT, PBE
State: relaxed

a b c (Å): 8.5534 8.5534 8.5534
angles (deg): 33.63 33.63 33.63
Last column: nearest neighbours and their distance in Å.
Sites, in units of the cell vectors:
Er 0.1182 0.1182 0.1182  1 Rh 2.86, 4 Cu 2.96-3.10, 3 Hg 3.09
Er 0.3698 0.3698 0.3698  4 Cu 2.98-3.11, 3 Rh 2.99, 1 Hg 3.15
Er 0.6302 0.6302 0.6302  4 Cu 2.98-3.11, 3 Rh 2.99, 1 Hg 3.15
Er 0.8818 0.8818 0.8818  1 Rh 2.86, 4 Cu 2.96-3.10, 3 Hg 3.09
Cu 0.2464 0.2464 0.2464  8 Er 2.96-3.11
Cu 0.7536 0.7536 0.7536  8 Er 2.96-3.11
Hg 0.5000 0.5000 0.5000  8 Er 3.09-3.15, 6 Cu 3.45
Rh 0.0000 0.0000 0.0000  8 Er 2.86-2.99

The calculation puts the total magnetic moment at 0.00 μB/f.u. The formation enthalpy at 0 K comes out at -0.494 eV/atom. The total energy comes out at -38.05 eV for the cell shown. The space-group type is R-3m. As for the density of states at the Fermi level: 0.5787 states/eV/atom.

Copy entry 3 word for word.
Material: Er4Cu2HgRh
Method: DFT, PBE
State: relaxed

a b c (Å): 8.5534 8.5534 8.5534
angles (deg): 33.63 33.63 33.63
Last column: nearest neighbours and their distance in Å.
Sites, in units of the cell vectors:
Er 0.1182 0.1182 0.1182  1 Rh 2.86, 4 Cu 2.96-3.10, 3 Hg 3.09
Er 0.3698 0.3698 0.3698  4 Cu 2.98-3.11, 3 Rh 2.99, 1 Hg 3.15
Er 0.6302 0.6302 0.6302  4 Cu 2.98-3.11, 3 Rh 2.99, 1 Hg 3.15
Er 0.8818 0.8818 0.8818  1 Rh 2.86, 4 Cu 2.96-3.10, 3 Hg 3.09
Cu 0.2464 0.2464 0.2464  8 Er 2.96-3.11
Cu 0.7536 0.7536 0.7536  8 Er 2.96-3.11
Hg 0.5000 0.5000 0.5000  8 Er 3.09-3.15, 6 Cu 3.45
Rh 0.0000 0.0000 0.0000  8 Er 2.86-2.99

The calculation puts the total magnetic moment at 0.00 μB/f.u. The formation enthalpy at 0 K comes out at -0.494 eV/atom. The total energy comes out at -38.05 eV for the cell shown. The space-group type is R-3m. As for the density of states at the Fermi level: 0.5787 states/eV/atom.